Entry 1:
Cs4KIn3Cl12 | PBE-GGA | relaxed

```
20
Lattice="-5.862 -3.189 6.837 0.805 -6.615 -6.845 8.607 1.764 3.752" Properties=species:S:1:pos:R:3 pbc="T T T"
Cs 1.775 -4.020 1.872
Cs 4.304 0.882 1.876
Cs -2.931 -1.594 3.418
Cs 0.402 -3.308 -3.423
K 0.000 0.000 0.000
In 1.373 -0.713 5.294
In -2.528 -4.902 -0.004
In 4.706 -2.426 -1.547
Cl 5.392 -2.782 1.101
Cl 2.013 -1.045 7.764
Cl 0.732 -0.380 2.824
Cl -1.842 -5.258 2.643
Cl -3.708 -7.189 -0.006
Cl -1.349 -2.615 -0.002
Cl 0.109 -3.164 5.292
Cl 3.442 -4.877 -1.549
Cl 3.726 -1.926 4.521
Cl 6.902 -3.558 -2.268
Cl -0.175 -6.115 -0.778
Cl 2.511 -1.294 -0.825
```

Results
**Density**: 3.3 g cm⁻³
**D(E_F)**: 3.30 states/eV/f.u.
**Uncorrected energy**: -3.263 eV/atom
**Spin magnetization**: 0.00 μB/atom
**ΔE_f (raw)**: -2931 kJ/mol of formula units


Entry 2:
BaLa2PbO | PBE-GGA | relaxed

```
5
Lattice="-2.327 -3.798 2.290 5.433 -2.172 1.919 -0.376 2.746 4.172" Properties=species:S:1:pos:R:3 pbc="T T T"
Pb 2.716 -1.086 0.960
Ba 1.365 -1.612 4.191
O 0.000 0.000 0.000
La -0.188 1.373 2.086
La -1.164 -1.899 1.145
```

Results
**Energy above the most stable polymorph in this dataset**: 313 meV per atom
**Density**: 6.9 g cm⁻³
**D(E_F)**: 6.51 states/eV/f.u.
**Uncorrected energy**: -5.124 eV/atom
**Spin magnetization**: 0.00 μB/atom
**ΔE_f (raw)**: -499 kJ/mol of formula units


Entry 3:
CaBe2Re | PBE-GGA | relaxed

```
4
Lattice="-0.705 -4.292 -0.629 3.212 -2.893 0.793 -0.285 -2.709 3.449" Properties=species:S:1:pos:R:3 pbc="T T T"
Re 1.667 -7.421 2.710
Ca 1.111 -4.947 1.807
Be 0.000 0.000 0.000
Be 0.556 -2.474 0.903
```

Results
**Energy above the most stable polymorph in this dataset**: 734 meV per atom
**Density**: 6.8 g cm⁻³
**D(E_F)**: 3.81 states/eV/f.u.
**Uncorrected energy**: -4.452 eV/atom
**Spin magnetization**: 0.00 μB/atom
**Energy relative to the elements**: 1.0238 eV/atom


Entry 4:
Er2Mg3Ag4 | PBE-GGA | relaxed

```
9
Lattice="-2.858 -3.967 0.065 1.865 -4.337 1.226 -2.103 1.663 8.919" Properties=species:S:1:pos:R:3 pbc="T T T"
Er -1.978 -1.466 7.406
Er -1.118 -5.176 2.805
Mg -1.214 -2.070 4.192
Mg 0.000 0.000 0.000
Mg -1.882 -4.572 6.018
Ag -2.551 -4.043 8.868
Ag -3.586 -3.390 3.189
Ag 0.490 -3.252 7.022
Ag -0.545 -2.599 1.343
```

Results
**Energy above the most stable polymorph in this dataset**: 0 meV per atom
**Density**: 7.2 g cm⁻³
**D(E_F)**: 7.24 states/eV/f.u.
**Uncorrected energy**: -3.051 eV/atom
**Spin magnetization**: 0.00 μB/atom
**Energy relative to the elements**: -0.2379 eV/atom


Entry 5:
Tl2V2Br7 | PBE-GGA | relaxed

```
11
Lattice="7.059 -0.280 -0.389 -0.422 6.481 2.961 -0.469 -0.461 7.108" Properties=species:S:1:pos:R:3 pbc="T T T"
Tl 3.097 4.827 3.671
Tl 3.071 0.913 6.009
V 6.164 4.313 7.292
V 0.005 1.427 2.389
Br 0.953 5.806 6.286
Br 5.236 2.967 1.583
Br 5.215 -0.065 3.394
Br 0.932 2.773 8.098
Br 0.000 0.000 0.000
Br 5.100 3.154 5.339
Br 1.068 2.586 4.341
```

Results
**Density**: 5.3 g cm⁻³
**D(E_F)**: 6.31 states/eV/f.u.
**Uncorrected energy**: -3.895 eV/atom
**Spin magnetization**: 0.45 μB/atom
**ΔE_f (raw)**: -788 kJ/mol of formula units


Entry 6:
Ba2MgAl3Hg4 | PBE-GGA | relaxed

```
10
Lattice="4.785 0.000 0.000 0.000 4.785 0.000 0.000 0.000 11.556" Properties=species:S:1:pos:R:3 pbc="T T T"
Ba 2.393 0.000 2.812
Ba 0.000 2.393 8.744
Mg 2.393 2.393 5.778
Al 0.000 0.000 5.778
Al 2.393 0.000 10.074
Al 0.000 2.393 1.482
Hg 2.393 2.393 0.000
Hg 0.000 0.000 0.000
Hg 2.393 0.000 7.324
Hg 0.000 2.393 4.232
```

Results
**Density**: 7.4 g cm⁻³
**D(E_F)**: 7.28 states/eV/f.u.
**Uncorrected energy**: -2.093 eV/atom
**Spin magnetization**: 0.00 μB/atom
**Energy relative to the elements**: -0.3055 eV/atom


Entry 7:
LaZr2P | PBE-GGA | relaxed

```
4
Lattice="-3.723 -4.766 0.009 -0.804 -5.783 1.575 -2.776 -0.904 4.585" Properties=species:S:1:pos:R:3 pbc="T T T"
La -1.388 -0.452 2.293
Zr -4.200 -8.752 2.141
Zr -3.103 -2.700 4.028
P -2.263 -5.274 0.792
```

Results
**Density**: 6.1 g cm⁻³
**D(E_F)**: 3.69 states/eV/f.u.
**Uncorrected energy**: -7.359 eV/atom
**Spin magnetization**: 0.00 μB/atom
**Energy relative to the elements**: -0.5008 eV/atom


Entry 8:
Al2Fe5Si | PBE-GGA | relaxed

```
8
Lattice="-2.572 0.094 3.024 0.119 -3.963 0.224 5.541 2.271 2.035" Properties=species:S:1:pos:R:3 pbc="T T T"
Al 0.927 -1.766 3.450
Al 2.162 0.169 1.833
Fe -1.226 -1.935 1.624
Fe 2.011 0.304 4.307
Fe 3.356 -1.724 2.907
Fe 1.078 -1.902 0.976
Fe -0.267 0.126 2.376
Si 0.000 0.000 0.000
```

Results
**Density**: 6.7 g cm⁻³
**D(E_F)**: 4.56 states/eV/f.u.
**Uncorrected energy**: -7.237 eV/atom
**Spin magnetization**: 0.27 μB/atom
**ΔE_f (raw)**: -258 kJ/mol of formula units


Entry 9:
ZrTlOs3 | PBE-GGA | relaxed

```
5
Lattice="4.916 0.000 0.000 0.000 4.916 0.000 0.000 0.000 4.916" Properties=species:S:1:pos:R:3 pbc="T T T"
Tl 2.458 2.458 2.458
Os 0.000 2.458 0.000
Os 0.000 0.000 2.458
Os 2.458 0.000 0.000
Zr 0.000 0.000 0.000
```

Results
**Energy above the most stable polymorph in this dataset**: 0 meV per atom
**Density**: 12.1 g cm⁻³
**D(E_F)**: 7.49 states/eV/f.u.
**Uncorrected energy**: -6.592 eV/atom
**Spin magnetization**: 0.67 μB/atom
**Energy relative to the elements**: 2.3285 eV/atom


Entry 10:
Zn2CoHPd | PBE-GGA | relaxed

```
5
Lattice="4.174 0.000 0.000 0.000 4.174 0.000 0.000 0.000 3.198" Properties=species:S:1:pos:R:3 pbc="T T T"
H 0.000 0.000 0.000
Zn 0.000 2.087 0.000
Zn 2.087 0.000 0.000
Co 0.000 0.000 1.599
Pd 2.087 2.087 1.599
```

Results
**Density**: 8.9 g cm⁻³
**D(E_F)**: 1.82 states/eV/f.u.
**Uncorrected energy**: -3.789 eV/atom
**Spin magnetization**: 0.00 μB/atom


Entry 11:
CsIn4Ge3 | PBE-GGA | relaxed

```
8
Lattice="4.851 0.000 0.000 0.000 4.851 0.000 0.000 0.000 10.166" Properties=species:S:1:pos:R:3 pbc="T T T"
Cs 0.000 0.000 5.083
In 2.426 0.000 1.644
In 0.000 2.426 1.644
In 2.426 0.000 8.522
In 0.000 2.426 8.522
Ge 0.000 0.000 0.000
Ge 2.426 2.426 3.181
Ge 2.426 2.426 6.985
```

Results
**Density**: 5.6 g cm⁻³
**D(E_F)**: 1.87 states/eV/f.u.
**Uncorrected energy**: -3.203 eV/atom
**Spin magnetization**: 0.00 μB/atom
**Energy relative to the elements**: 0.0041 eV/atom


Entry 12:
Y2Sc2Pd | PBE-GGA | relaxed

```
10
Lattice="6.950 0.000 0.000 0.000 6.950 0.000 0.000 0.000 5.296" Properties=species:S:1:pos:R:3 pbc="T T T"
Y 1.154 4.629 2.648
Y 4.629 5.796 2.648
Y 5.796 2.321 2.648
Y 2.321 1.154 2.648
Sc 2.429 5.904 0.000
Sc 5.904 4.521 0.000
Sc 4.521 1.046 0.000
Sc 1.046 2.429 0.000
Pd 0.000 0.000 0.000
Pd 3.475 3.475 0.000
```

Results
**Density**: 4.9 g cm⁻³
**D(E_F)**: 7.95 states/eV/f.u.
**Uncorrected energy**: -6.383 eV/atom
**Spin magnetization**: 0.00 μB/atom
**Energy relative to the elements**: -0.2261 eV/atom


Entry 13:
Nd4ScBi5 | PBE-GGA | relaxed

```
10
Lattice="5.815 0.000 2.805 2.907 7.182 1.402 -0.213 0.000 7.871" Properties=species:S:1:pos:R:3 pbc="T T T"
Nd 3.345 2.846 7.939
Nd 6.844 5.698 8.115
Nd 1.676 1.484 3.968
Nd 5.175 4.336 4.144
Sc 0.009 0.000 0.004
Bi 6.200 2.767 9.449
Bi 3.902 5.818 6.783
Bi 4.618 1.364 5.300
Bi 2.320 4.415 2.634
Bi 2.915 0.000 1.406
```

Results
**Density**: 8.3 g cm⁻³
**D(E_F)**: 1.76 states/eV/f.u.
**Uncorrected energy**: -5.348 eV/atom
**Spin magnetization**: 0.00 μB/atom
**Energy relative to the elements**: -0.8671 eV/atom


Entry 14:
Dy2AgPt2 | PBE-GGA | relaxed

```
10
Lattice="-2.436 -2.794 -0.155 5.035 -4.583 3.494 -2.823 2.084 6.801" Properties=species:S:1:pos:R:3 pbc="T T T"
Dy -2.259 -0.773 5.045
Dy -0.209 -2.719 7.918
Dy 2.036 -4.520 5.095
Dy -0.015 -2.573 2.223
Ag 0.000 0.000 0.000
Ag 1.106 -1.250 5.148
Pt -0.599 0.125 7.181
Pt 2.580 -2.656 7.334
Pt 2.811 -2.624 3.115
Pt -0.368 0.157 2.961
```

Results
**Density**: 12.6 g cm⁻³
**D(E_F)**: 2.04 states/eV/f.u.
**Uncorrected energy**: -5.835 eV/atom
**Spin magnetization**: 0.00 μB/atom
**Energy relative to the elements**: -1.0075 eV/atom


Entry 15:
Na3ZnH5 | PBE-GGA | relaxed

```
18
Lattice="5.793 0.000 -3.187 -1.753 5.521 -3.187 0.022 0.031 6.898" Properties=species:S:1:pos:R:3 pbc="T T T"
Na 3.627 0.999 -2.746
Na 0.412 4.522 -3.627
Na 3.551 3.759 -4.780
Na 0.488 1.762 -1.593
Na 1.021 1.395 1.856
Na 3.041 4.156 -1.331
Zn 3.917 1.395 0.262
Zn 0.144 4.156 0.262
H 4.879 2.709 0.100
H 3.754 1.172 1.875
H -0.507 5.470 0.987
H 1.594 3.932 0.987
H -0.817 2.842 0.425
H 0.308 4.379 -1.350
H 4.569 0.082 -0.463
H 2.468 1.619 -0.463
H 2.020 2.760 -3.187
H 0.000 0.000 0.000
```

Results
**Density**: 2.1 g cm⁻³
**D(E_F)**: 0.00 states/eV/f.u.
**Uncorrected energy**: -2.609 eV/atom
**Spin magnetization**: 0.00 μB/atom


Entry 16:
La3ZrNi | PBE-GGA | relaxed

```
5
Lattice="5.419 0.000 0.000 0.000 5.419 0.000 0.000 0.000 5.419" Properties=species:S:1:pos:R:3 pbc="T T T"
Ni 0.000 0.000 0.000
Zr 2.710 2.710 2.710
La 0.000 2.710 0.000
La 0.000 0.000 2.710
La 2.710 0.000 0.000
```

Results
**Energy above the most stable polymorph in this dataset**: 0 meV per atom
**Density**: 5.9 g cm⁻³
**D(E_F)**: 8.80 states/eV/f.u.
**Uncorrected energy**: -5.594 eV/atom
**Spin magnetization**: 0.00 μB/atom
**Energy relative to the elements**: 0.2281 eV/atom


Entry 17:
Tb5Ge2Pb | PBE-GGA | relaxed

```
16
Lattice="7.192 0.000 -3.395 -1.603 7.011 -3.395 -0.225 -0.282 8.839" Properties=species:S:1:pos:R:3 pbc="T T T"
Tb 2.418 4.729 2.217
Tb 4.088 6.823 -3.562
Tb 0.000 0.000 0.000
Tb 2.795 3.506 -3.395
Tb 1.277 -0.094 5.612
Tb 4.572 1.224 3.276
Tb -0.876 3.411 4.552
Tb 0.793 5.506 -1.226
Tb 6.241 3.318 -2.503
Tb 2.946 2.000 -0.167
Ge 0.495 2.472 -1.697
Ge 4.420 1.033 -2.698
Ge 1.170 5.978 -4.092
Ge 5.095 4.539 -5.092
Pb 4.080 5.117 -0.673
Pb 1.285 1.612 2.722
```

Results
**Density**: 8.8 g cm⁻³
**D(E_F)**: 8.45 states/eV/f.u.
**Uncorrected energy**: -5.199 eV/atom
**Spin magnetization**: 0.00 μB/atom
**Energy relative to the elements**: -0.6877 eV/atom


Entry 18:
AlPtO2 | PBE-GGA | relaxed

```
8
Lattice="-0.775 -2.137 4.368 -5.365 -4.051 -2.934 1.813 -2.070 -0.457" Properties=species:S:1:pos:R:3 pbc="T T T"
Pt -0.740 -4.588 0.567
Pt -2.017 -4.608 2.989
Al -4.458 -5.309 1.281
Al -4.369 -6.185 -1.791
O -4.980 -5.163 -0.424
O -3.453 -4.953 -2.708
O -0.747 -1.644 0.453
O -2.515 -5.474 1.158
```

Results
**Density**: 8.4 g cm⁻³
**D(E_F)**: 0.59 states/eV/f.u.
**Uncorrected energy**: -6.701 eV/atom
**Spin magnetization**: 0.00 μB/atom
**ΔE_f (raw)**: -685 kJ/mol of formula units


Entry 19:
Al2SnPb | PBE-GGA | relaxed

```
4
Lattice="-1.242 -2.696 4.197 0.615 2.074 4.662 -4.111 1.328 2.785" Properties=species:S:1:pos:R:3 pbc="T T T"
Pb -2.369 0.354 5.822
Sn 0.000 0.000 0.000
Al -1.184 0.177 2.911
Al -3.553 0.530 8.733
```

Results
**Energy above the most stable polymorph in this dataset**: 0 meV per atom
**Density**: 6.6 g cm⁻³
**D(E_F)**: 2.27 states/eV/f.u.
**Uncorrected energy**: -3.561 eV/atom
**Spin magnetization**: 0.00 μB/atom
**Energy relative to the elements**: 0.2383 eV/atom


Entry 20:
Cs6Au3F2 | PBE-GGA | relaxed

```
11
Lattice="5.776 0.000 0.000 0.000 5.776 0.000 -2.888 -2.888 14.619" Properties=species:S:1:pos:R:3 pbc="T T T"
Cs 0.000 2.888 2.430
Cs 2.888 0.000 2.430
Cs 2.888 0.000 12.189
Cs 0.000 2.888 12.189
Cs 2.888 2.888 5.851
Cs 0.000 0.000 8.767
Au 0.000 0.000 0.000
Au 2.888 2.888 9.637
Au 0.000 0.000 4.981
F 0.000 0.000 11.649
F 2.888 2.888 2.969
```

Results
**Density**: 4.9 g cm⁻³
**D(E_F)**: 4.59 states/eV/f.u.
**Uncorrected energy**: -2.835 eV/atom
**Spin magnetization**: 0.00 μB/atom
**ΔE_f (raw)**: -1205 kJ/mol of formula units